Below is a geometry-optimized P2WO8 structure, with properties calculated at the PBE+U level.

a = 9.012 Å, b = 9.012 Å, c = 6.987 Å
α = 100.76°, β = 100.76°, γ = 33.80°
Positions (direct):
1 P 0.168 0.168 0.049
2 P 0.169 0.169 0.620
3 P 0.831 0.831 0.380
4 P 0.832 0.832 0.951
5 W 0.385 0.385 0.699
6 W 0.615 0.615 0.301
7 O 0.106 0.633 0.491
8 O 0.113 0.644 0.891
9 O 0.137 0.137 0.816
10 O 0.254 0.254 0.118
11 O 0.258 0.258 0.649
12 O 0.356 0.887 0.109
13 O 0.367 0.894 0.509
14 O 0.487 0.487 0.733
15 O 0.513 0.513 0.267
16 O 0.633 0.106 0.491
17 O 0.644 0.113 0.891
18 O 0.742 0.742 0.351
19 O 0.746 0.746 0.882
20 O 0.863 0.863 0.184
21 O 0.887 0.356 0.109
22 O 0.894 0.367 0.509

Summary:
Space-group type ... C2/m
Calculated volume ... 309.6 Å³/cell
Total magnetic moment ... 0.0 μB/f.u.
Electronic total energy ... -7.271 eV per atom